(1)
Computed, not measured: a relaxed structure of Tb4Ir3Rh at the PBE level of DFT.

a = 4.940 Å, b = 6.687 Å, c = 9.880 Å
α = 90.00°, β = 90.00°, γ = 90.00°
Positions (direct):
Rh 0.000 0.500 0.000
Rh 0.000 0.500 0.500
Ir 0.000 0.000 0.000
Ir 0.000 0.000 0.500
Ir 0.500 0.000 0.750
Ir 0.500 0.000 0.250
Ir 0.500 0.500 0.750
Ir 0.500 0.500 0.250
Tb 0.500 0.751 0.000
Tb 0.500 0.751 0.500
Tb 0.500 0.249 0.000
Tb 0.500 0.249 0.500
Tb 0.000 0.751 0.750
Tb 0.000 0.751 0.250
Tb 0.000 0.249 0.250
Tb 0.000 0.249 0.750

Volume (A^3/atom): 20.4
SG: P4/mmm, No. 123
E (eV per cell): -117.76

(2)
Computed, not measured: a relaxed structure of Tb3Ir2Rh at the PBE level of DFT.

a = 3.558 Å, b = 4.787 Å, c = 7.571 Å
α = 108.43°, β = 90.00°, γ = 90.00°
Positions (direct):
Tb 0.500 0.500 0.000
Tb 0.500 0.832 0.665
Tb 0.500 0.168 0.335
Ir 0.000 0.334 0.668
Ir 0.000 0.666 0.332
Rh 0.000 0.000 0.000

Volume (A^3/atom): 20.4
SG: Cmmm, No. 65
E (eV per cell): -43.82

(3)
Computed, not measured: a relaxed structure of Tb3Ir2Rh7 at the PBE level of DFT.

a = 5.273 Å, b = 5.273 Å, c = 9.318 Å
α = 73.56°, β = 73.56°, γ = 60.00°
Positions (direct):
Tb 0.000 0.000 0.000
Tb 0.861 0.861 0.416
Tb 0.139 0.139 0.584
Ir 0.667 0.667 0.999
Ir 0.333 0.333 0.001
Rh 0.500 0.500 0.500
Rh 0.918 0.418 0.246
Rh 0.418 0.918 0.246
Rh 0.418 0.418 0.246
Rh 0.082 0.582 0.754
Rh 0.582 0.582 0.754
Rh 0.582 0.082 0.754

Volume (A^3/atom): 17.7
SG: R-3m, No. 166
E (eV per cell): -89.48

Listing ΔH_f (0 K) for the structures above in their given order: -6.426; -4.860; -6.412 eV per formula unit.